# 1
VASP calculation (PBE-GGA) on a relaxed structure of Tb6MnS8.

The structure belongs to space group Fm-3m (No. 225); the cell edges are 11.031, 11.031 and 11.031 Å and the angles 90.00°, 90.00° and 90.00°. The distinct sites, in fractional coordinates, are Tb at (0.000, 0.250, 0.250), Mn at (0.000, 0.000, 0.000), S at (0.000, 0.000, 0.241) and S at (0.250, 0.250, 0.250).

---

# 2
VASP calculation (PBE-GGA) on a relaxed structure of TbMnS3.

The structure belongs to space group Pnma (No. 62); the cell edges are 7.650, 3.764 and 12.809 Å and the angles 90.00°, 90.00° and 90.00°. The distinct sites, in fractional coordinates, are Tb at (0.093, 0.250, 0.170), Mn at (0.159, 0.750, 0.448), S at (0.021, 0.750, 0.614), S at (0.153, 0.750, 0.007) and S at (0.193, 0.250, 0.787).

The relative energy among the computed polymorphs comes out at 0 meV per atom.

---

# 3
VASP calculation (PBE-GGA) on a relaxed structure of Tb3MnS6.

The structure belongs to space group Cmc2_1 (No. 36); the cell edges are 10.655, 13.232 and 6.549 Å and the angles 90.00°, 90.00° and 90.00°. The distinct sites, in fractional coordinates, are Tb at (0.000, 0.100, 0.000), Tb at (0.183, 0.401, 0.915), Mn at (0.000, 0.301, 0.375), S at (0.000, 0.280, 0.725), S at (0.000, 0.460, 0.223), S at (0.162, 0.028, 0.708) and S at (0.165, 0.236, 0.200).

---

Uncorrected formation energy per entry: -1.87 -1.26 -1.64 eV/atom
Fermi-level density of states per entry: 3.624 2.026 5.641 states/eV/f.u.